Computed, not measured: a geometry-optimized Nd3ErO6 structure at the PBE-GGA level of DFT.

Computed properties:
Uncorrected energy   -82.931 eV per formula unit

Cell lengths 6.896, 6.896, 6.896 Å; angles 91.96, 91.96, 91.96 degrees
Positions (direct):
1 Er 0.500 0.500 0.500
2 Er 0.000 0.000 0.000
3 O 0.692 0.933 0.090
4 O 0.191 0.404 0.534
5 O 0.809 0.596 0.466
6 O 0.933 0.090 0.692
7 O 0.404 0.534 0.191
8 O 0.910 0.308 0.067
9 O 0.596 0.466 0.809
10 O 0.090 0.692 0.933
11 O 0.466 0.809 0.596
12 O 0.067 0.910 0.308
13 O 0.534 0.191 0.404
14 O 0.308 0.067 0.910
15 Nd 0.936 0.443 0.748
16 Nd 0.252 0.064 0.557
17 Nd 0.443 0.748 0.936
18 Nd 0.748 0.936 0.443
19 Nd 0.064 0.557 0.252
20 Nd 0.557 0.252 0.064

=====

Computed, not measured: a geometry-optimized Nd2Er2O5 structure at the PBE-GGA level of DFT.

Computed properties:
E above lowest polymorph   0.0000 eV per atom
Uncorrected energy   -68.454 eV per formula unit

Cell lengths 7.663, 4.288, 4.288 Å; angles 90.00, 90.00, 90.00 degrees
Positions (direct):
1 Er 0.771 0.500 0.500
2 Er 0.229 0.500 0.500
3 O 0.757 0.000 0.500
4 O 0.757 0.500 0.000
5 O 0.243 0.500 0.000
6 O 0.500 0.500 0.500
7 O 0.243 0.000 0.500
8 Nd 0.500 0.000 0.000
9 Nd 0.000 0.000 0.000

=====

Computed, not measured: a geometry-optimized NdEr2O3 structure at the PBE-GGA level of DFT.

Computed properties:
Uncorrected energy   -45.611 eV per formula unit

Cell lengths 3.420, 3.420, 8.447 Å; angles 90.00, 90.00, 120.00 degrees
Positions (direct):
1 Er 0.667 0.333 0.336
2 Er 0.333 0.667 0.664
3 Nd 0.000 0.000 0.000
4 O 0.000 0.000 0.500
5 O 0.333 0.667 0.203
6 O 0.667 0.333 0.797

=====

Q: Which of these has the highest uncorrected energy?
A: NdEr2O3